A plane-wave DFT calculation with GGA-PBE was carried out for crystalline ErMgPb2 at its relaxed geometry.

* energy of formation from the pure elements: -0.291 eV/atom
* magnetization: 0.00 Bohr magnetons per cell
* volume: 26.489 A^3/atom

Cell: 4.924 4.924 4.369 Å, 90.00 90.00 90.00°
Fractional positions:
Er 0.000 0.000 0.000
Mg 0.500 0.500 0.000
Pb 0.000 0.500 0.500
Pb 0.500 0.000 0.500